1.
Material: MnRe3
Method: DFT, GGA-PBE
State: optimized geometry

It has space group Pm-3n (No. 223), with a = 4.8647 Å, b = 4.8647 Å, c = 4.8647 Å, α = 90.00°, β = 90.00° and γ = 90.00°. The asymmetric unit holds Mn at (0.0000, 0.0000, 0.0000) and Re at (0.0000, 0.2500, 0.5000).

As for the calculated total energy: -92.03 eV for the cell shown. The density is 17.70 g cm⁻³. Its density of states at the Fermi level is 7.6 states/eV/cell.

2.
Material: Mg2NiSe
Method: DFT, GGA-PBE
State: optimized geometry

It has space group Cmmm (No. 65), with a = 6.2871 Å, b = 6.2951 Å, c = 3.4307 Å, α = 90.00°, β = 90.00° and γ = 90.00°. The asymmetric unit holds Mg at (0.2500, 0.2500, 0.0000), Ni at (0.0000, 0.0000, 0.5000) and Se at (0.0000, 0.5000, 0.5000).

As for the calculated total energy: -27.52 eV for the cell shown. For the uncorrected formation energy, the calculation gives -0.326 eV per atom. The density is 4.56 g cm⁻³. Its density of states at the Fermi level is 2.5 states/eV/cell.

Q: Which formula does entry 1 have?
A: MnRe3

Q: Which of these has the lowest calculated total energy?
A: MnRe3